No. 1
A geometry-optimized Fe2Co3Ir3 structure. Source: Alexandria, functional GGA-PBE.

Values from the calculation:
DOS at the Fermi energy: 14.19 states/eV per cell
Calculated total energy: -7.917 eV/atom
Total magnetization: 12.0 μB/f.u.

Geometry as POSCAR:
```
Fe2Co3Ir3
1.0
3.334 1.925 2.701
-3.334 1.925 2.701
0.000 -3.849 2.701
Fe Co Ir
2 3 3
Cartesian
0.000 0.000 1.988
0.000 0.000 6.114
-0.810 -2.446 2.701
-1.714 1.925 2.701
2.524 0.522 2.701
-1.683 0.000 4.051
0.842 -1.458 4.051
0.842 1.458 4.051
```

No. 2
A geometry-optimized FeCo2Ir structure. Source: Alexandria, functional GGA-PBE.

Values from the calculation:
DOS at the Fermi energy: 6.43 states/eV per cell
Energy relative to the lowest polymorph listed for this composition: 85.5 meV/atom
Calculated total energy: -7.784 eV/atom
Total magnetization: 7.5 μB/f.u.

Geometry as POSCAR:
```
FeCo2Ir
1.0
0.000 2.925 2.925
2.925 0.000 2.925
2.925 2.925 0.000
Fe Co Ir
1 2 1
Cartesian
0.000 0.000 0.000
2.925 2.925 2.925
4.388 4.388 4.388
1.463 1.463 1.463
```

No. 3
A geometry-optimized Fe2Co3Ir4 structure. Source: Alexandria, functional GGA-PBE.

Values from the calculation:
DOS at the Fermi energy: 11.72 states/eV per cell
Calculated total energy: -8.178 eV/atom
Total magnetization: 10.1 μB/f.u.

Geometry as POSCAR:
```
Fe2Co3Ir4
1.0
6.817 -1.345 0.000
6.817 1.345 0.000
-2.961 0.000 6.321
Fe Co Ir
2 3 4
Cartesian
0.786 0.000 3.107
9.887 0.000 3.214
2.349 0.000 5.208
5.337 0.000 3.161
8.324 0.000 1.113
-2.206 0.000 5.256
3.756 0.000 1.105
6.917 0.000 5.216
12.879 0.000 1.065
```

No. 4
A geometry-optimized FeCo14Ir structure. Source: Alexandria, functional GGA-PBE.

Values from the calculation:
DOS at the Fermi energy: 15.84 states/eV per cell
Calculated total energy: -7.290 eV/atom
Total magnetization: 26.1 μB/f.u.

Geometry as POSCAR:
```
FeCo14Ir
1.0
8.173 0.000 0.000
0.000 2.521 4.365
0.000 -2.521 4.365
Fe Co Ir
1 14 1
Cartesian
0.000 0.000 0.000
0.000 -1.251 2.178
0.000 1.251 2.178
2.052 0.000 7.258
2.069 0.000 2.882
2.101 -1.263 5.102
2.101 1.263 5.102
4.087 -1.265 3.631
4.087 0.000 1.448
4.087 1.265 3.631
4.087 0.000 5.821
6.072 -1.263 5.102
6.072 1.263 5.102
6.104 0.000 2.882
6.121 0.000 7.258
0.000 0.000 4.363
```

No. 5
A geometry-optimized FeCo2Ir structure. Source: Alexandria, functional GGA-PBE.

Values from the calculation:
DOS at the Fermi energy: 5.97 states/eV per cell
Energy relative to the lowest polymorph listed for this composition: 3.6 meV/atom
Calculated total energy: -7.866 eV/atom
Total magnetization: 4.1 μB/f.u.

Geometry as POSCAR:
```
FeCo2Ir
1.0
-1.813 1.813 3.595
1.813 -1.813 3.595
1.813 1.813 -3.595
Fe Co Ir
1 2 1
Cartesian
0.000 0.000 0.000
1.813 0.000 1.798
0.000 1.813 1.798
0.000 0.000 3.595
```

No. 6
A geometry-optimized Fe15Co4Ir structure. Source: Alexandria, functional GGA-PBE.

Values from the calculation:
DOS at the Fermi energy: 14.37 states/eV per cell
Calculated total energy: -8.207 eV/atom
Total magnetization: 39.6 μB/f.u.

Geometry as POSCAR:
```
Fe15Co4Ir
1.0
4.013 0.000 0.000
0.000 4.013 0.000
0.000 0.000 14.571
Fe Co Ir
15 4 1
Cartesian
0.000 0.000 0.000
0.000 0.000 2.990
0.000 0.000 5.853
0.000 0.000 8.717
0.000 0.000 11.581
0.000 2.007 1.602
0.000 2.007 4.437
0.000 2.007 7.285
0.000 2.007 10.133
0.000 2.007 12.969
2.007 0.000 1.602
2.007 0.000 4.437
2.007 0.000 7.285
2.007 0.000 10.133
2.007 0.000 12.969
2.007 2.007 3.004
2.007 2.007 5.859
2.007 2.007 8.712
2.007 2.007 11.566
2.007 2.007 0.000
```

No. 7
A geometry-optimized Fe2Co2Ir structure. Source: Alexandria, functional GGA-PBE.

Values from the calculation:
DOS at the Fermi energy: 30.24 states/eV per cell
Energy relative to the lowest polymorph listed for this composition: 39.4 meV/atom
Calculated total energy: -7.671 eV/atom
Total magnetization: 0.2 μB/f.u.

Geometry as POSCAR:
```
Fe2Co2Ir
1.0
6.638 0.000 0.000
0.000 6.638 0.000
0.000 0.000 2.590
Fe Co Ir
4 4 2
Cartesian
0.792 2.527 0.000
2.527 5.846 0.000
4.111 0.792 0.000
5.846 4.111 0.000
1.168 4.487 1.295
2.152 1.168 1.295
4.487 5.471 1.295
5.471 2.152 1.295
0.000 0.000 0.000
3.319 3.319 0.000
```

No. 8
A geometry-optimized Fe2CoIr2 structure. Source: Alexandria, functional GGA-PBE.

Values from the calculation:
DOS at the Fermi energy: 23.73 states/eV per cell
Energy relative to the lowest polymorph listed for this composition: 408.8 meV/atom
Calculated total energy: -7.934 eV/atom
Total magnetization: 0.0 μB/f.u.

Geometry as POSCAR:
```
Fe2CoIr2
1.0
7.049 0.000 0.000
0.000 7.049 0.000
0.000 0.000 2.644
Fe Co Ir
4 2 4
Cartesian
1.171 2.353 0.000
2.353 5.878 0.000
4.696 1.171 0.000
5.878 4.696 0.000
0.000 0.000 1.322
3.525 3.525 1.322
0.931 4.456 1.322
2.593 0.931 1.322
4.456 6.118 1.322
6.118 2.593 1.322
```

Q: Which value of DOS at the Fermi energy does entry 1 give?
A: 14.19 states/eV per cell